This record from Alexandria describes a relaxed Sm6Ru2Rh crystal. The functional is PBE-GGA.

Structure (CIF):
```
data_Sm6Ru2Rh
_chemical_formula_sum 'Sm12 Ru4 Rh2'
_cell_length_a 6.727
_cell_length_b 7.450
_cell_length_c 11.759
_cell_angle_alpha 90.00
_cell_angle_beta 123.65
_cell_angle_gamma 90.00
_space_group_name_H-M_alt 'P 1 21/c 1'
_space_group_IT_number 14
_space_group_name_Hall '-P 2ybc'
loop_
_atom_site_label
_atom_site_type_symbol
_atom_site_fract_x
_atom_site_fract_y
_atom_site_fract_z
_atom_site_occupancy
Sm1 Sm 0.080 0.053 0.242 1
Sm2 Sm 0.233 0.672 0.076 1
Sm3 Sm 0.394 0.172 0.068 1
Ru1 Ru 0.305 0.116 0.770 1
Rh1 Rh 0.500 0.000 0.500 1
```

Summary:
**Volume**: 27.254 Å³ per atom
**VASP energy**: -114.0 eV/cell